## Cs2PtCl4 (PBE)

Data for a relaxed Cs2PtCl4 crystal.

a b c (Å): 7.292 7.292 4.871
angles (deg): 90.00 90.00 90.00
Fractional coordinates of all 7 atoms:
Cs 0.000 0.500 0.500
Cs 0.500 0.000 0.500
Cl 0.227 0.773 0.000
Cl 0.227 0.227 0.000
Cl 0.773 0.773 0.000
Cl 0.773 0.227 0.000
Pt 0.000 0.000 0.000

symmetry	No. 123
total energy	-3.53	eV per atom
calculated density	3.864	g/cm3